# Sb2PPdI PBE relaxed
# SG = No. 123
# Calculated volume = 28.49 Å³ per atom
# Total energy = -16.4 eV/cell
# Energy relative to the lowest polymorph listed for this composition = 57 meV/atom
data_Sb2PPdI
_chemical_formula_sum 'Sb2 P1 Pd1 I1'
_cell_length_a 5.2272
_cell_length_b 5.2272
_cell_length_c 5.2142
_cell_angle_alpha 90.00
_cell_angle_beta 90.00
_cell_angle_gamma 90.00
_symmetry_space_group_name_H-M 'P 1'
_symmetry_Int_Tables_number 1
loop_
_symmetry_equiv_pos_as_xyz
'x,y,z'
loop_
_atom_site_label
_atom_site_fract_x
_atom_site_fract_y
_atom_site_fract_z
Sb1 0.0000 0.5000 0.0000
Sb2 0.5000 0.0000 0.0000
P1 0.0000 0.0000 0.0000
Pd1 0.5000 0.5000 0.5000
I1 0.0000 0.0000 0.5000

=====

# Sb2PPdI PBE relaxed
# SG = No. 123
# Calculated volume = 28.96 Å³ per atom
# Total energy = -16.7 eV/cell
# Energy relative to the lowest polymorph listed for this composition = 0 meV/atom
data_Sb2PPdI
_chemical_formula_sum 'Sb2 P1 Pd1 I1'
_cell_length_a 5.2194
_cell_length_b 5.2194
_cell_length_c 5.3161
_cell_angle_alpha 90.00
_cell_angle_beta 90.00
_cell_angle_gamma 90.00
_symmetry_space_group_name_H-M 'P 1'
_symmetry_Int_Tables_number 1
loop_
_symmetry_equiv_pos_as_xyz
'x,y,z'
loop_
_atom_site_label
_atom_site_fract_x
_atom_site_fract_y
_atom_site_fract_z
Sb1 0.0000 0.5000 0.0000
Sb2 0.5000 0.0000 0.0000
P1 0.0000 0.0000 0.5000
Pd1 0.5000 0.5000 0.0000
I1 0.5000 0.5000 0.5000

=====

# SbPPdI2 PBE relaxed
# SG = No. 123
# Calculated volume = 30.62 Å³ per atom
# Total energy = -14.0 eV/cell
# Energy relative to the lowest polymorph listed for this composition = 48 meV/atom
data_SbPPdI2
_chemical_formula_sum 'Sb1 P1 Pd1 I2'
_cell_length_a 5.3495
_cell_length_b 5.3495
_cell_length_c 5.3491
_cell_angle_alpha 90.00
_cell_angle_beta 90.00
_cell_angle_gamma 90.00
_symmetry_space_group_name_H-M 'P 1'
_symmetry_Int_Tables_number 1
loop_
_symmetry_equiv_pos_as_xyz
'x,y,z'
loop_
_atom_site_label
_atom_site_fract_x
_atom_site_fract_y
_atom_site_fract_z
Sb1 0.0000 0.0000 0.0000
P1 0.0000 0.0000 0.5000
Pd1 0.5000 0.5000 0.0000
I1 0.0000 0.5000 0.5000
I2 0.5000 0.0000 0.5000

=====

# Sr6P2PdI3 PBE relaxed
# SG = No. 12
# Calculated volume = 35.34 Å³ per atom
# Total energy = -45.5 eV/cell
data_Sr6P2PdI3
_chemical_formula_sum 'Sr6 P2 Pd1 I3'
_cell_length_a 7.8115
_cell_length_b 7.8115
_cell_length_c 8.4428
_cell_angle_alpha 98.91
_cell_angle_beta 98.91
_cell_angle_gamma 120.03
_symmetry_space_group_name_H-M 'P 1'
_symmetry_Int_Tables_number 1
loop_
_symmetry_equiv_pos_as_xyz
'x,y,z'
loop_
_atom_site_label
_atom_site_fract_x
_atom_site_fract_y
_atom_site_fract_z
Sr1 0.0953 0.4338 0.8028
Sr2 0.2278 0.2278 0.1970
Sr3 0.4338 0.0953 0.8028
Sr4 0.5662 0.9047 0.1972
Sr5 0.7722 0.7722 0.8030
Sr6 0.9047 0.5662 0.1972
P1 0.1664 0.8336 0.0000
P2 0.8336 0.1664 0.0000
Pd1 0.5000 0.5000 0.0000
I1 0.0000 0.0000 0.5000
I2 0.3323 0.6677 0.5000
I3 0.6677 0.3323 0.5000

=====

# TaP2PdI PBE relaxed
# SG = No. 123
# Calculated volume = 24.56 Å³ per atom
# Total energy = -26.5 eV/cell
data_TaP2PdI
_chemical_formula_sum 'Ta1 P2 Pd1 I1'
_cell_length_a 4.7318
_cell_length_b 4.7318
_cell_length_c 5.4837
_cell_angle_alpha 90.00
_cell_angle_beta 90.00
_cell_angle_gamma 90.00
_symmetry_space_group_name_H-M 'P 1'
_symmetry_Int_Tables_number 1
loop_
_symmetry_equiv_pos_as_xyz
'x,y,z'
loop_
_atom_site_label
_atom_site_fract_x
_atom_site_fract_y
_atom_site_fract_z
Ta1 0.0000 0.0000 0.0000
P1 0.0000 0.5000 0.0000
P2 0.5000 0.0000 0.0000
Pd1 0.0000 0.0000 0.5000
I1 0.5000 0.5000 0.5000

=====

# Te2PPdI PBE relaxed
# SG = No. 123
# Calculated volume = 29.30 Å³ per atom
# Total energy = -14.7 eV/cell
# Energy relative to the lowest polymorph listed for this composition = 14 meV/atom
data_Te2PPdI
_chemical_formula_sum 'Te2 P1 Pd1 I1'
_cell_length_a 5.2722
_cell_length_b 5.2722
_cell_length_c 5.2703
_cell_angle_alpha 90.00
_cell_angle_beta 90.00
_cell_angle_gamma 90.00
_symmetry_space_group_name_H-M 'P 1'
_symmetry_Int_Tables_number 1
loop_
_symmetry_equiv_pos_as_xyz
'x,y,z'
loop_
_atom_site_label
_atom_site_fract_x
_atom_site_fract_y
_atom_site_fract_z
Te1 0.0000 0.5000 0.0000
Te2 0.5000 0.0000 0.0000
P1 0.0000 0.0000 0.0000
Pd1 0.5000 0.5000 0.5000
I1 0.0000 0.0000 0.5000

=====

# Te2PPdI PBE relaxed
# SG = No. 123
# Calculated volume = 29.50 Å³ per atom
# Total energy = -14.8 eV/cell
# Energy relative to the lowest polymorph listed for this composition = 0 meV/atom
data_Te2PPdI
_chemical_formula_sum 'Te2 P1 Pd1 I1'
_cell_length_a 5.2592
_cell_length_b 5.2592
_cell_length_c 5.3330
_cell_angle_alpha 90.00
_cell_angle_beta 90.00
_cell_angle_gamma 90.00
_symmetry_space_group_name_H-M 'P 1'
_symmetry_Int_Tables_number 1
loop_
_symmetry_equiv_pos_as_xyz
'x,y,z'
loop_
_atom_site_label
_atom_site_fract_x
_atom_site_fract_y
_atom_site_fract_z
Te1 0.0000 0.5000 0.0000
Te2 0.5000 0.0000 0.0000
P1 0.0000 0.0000 0.5000
Pd1 0.5000 0.5000 0.0000
I1 0.5000 0.5000 0.5000

=====

# Pm3P2I2 PBE relaxed
# SG = No. 12
# Calculated volume = 32.15 Å³ per atom
# Total energy = -37.9 eV/cell
data_Pm3P2I2
_chemical_formula_sum 'Pm3 P2 I2'
_cell_length_a 7.2503
_cell_length_b 7.2503
_cell_length_c 7.9120
_cell_angle_alpha 97.88
_cell_angle_beta 97.88
_cell_angle_gamma 33.14
_symmetry_space_group_name_H-M 'P 1'
_symmetry_Int_Tables_number 1
loop_
_symmetry_equiv_pos_as_xyz
'x,y,z'
loop_
_atom_site_label
_atom_site_fract_x
_atom_site_fract_y
_atom_site_fract_z
Pm1 0.0000 0.0000 0.0000
Pm2 0.2388 0.2388 0.7902
Pm3 0.7612 0.7612 0.2098
P1 0.3728 0.3728 0.0958
P2 0.6272 0.6272 0.9042
I1 0.1206 0.1206 0.3853
I2 0.8794 0.8794 0.6147